[1]
K12Hg6Au, relaxed, DFT GGA-PBE; formation energy from the elements = -0.16 eV/atom; electronic total energy = -1.13 eV per atom
1.0
-4.2371 6.1674 -7.0750
6.4227 -6.6020 -4.6053
-7.4095 -5.2452 4.8613
K Hg Au
12 6 1
Direct
0.7170 0.8989 0.1819
0.1011 0.8181 0.2830
0.1819 0.7170 0.8989
0.8181 0.2830 0.1011
0.2830 0.4649 0.1819
0.8989 0.1819 0.7170
0.5351 0.8181 0.7170
0.1819 0.2830 0.4649
0.8181 0.7170 0.5351
0.4649 0.1819 0.2830
0.7170 0.5351 0.8181
0.2830 0.1011 0.8181
0.5000 0.8749 0.3749
0.8749 0.3749 0.5000
0.5000 0.1251 0.6251
0.6251 0.5000 0.1251
0.1251 0.6251 0.5000
0.3749 0.5000 0.8749
0.0000 0.0000 0.0000

=====

[2]
K3Hg6Au, relaxed, DFT GGA-PBE; formation energy from the elements = -0.22 eV/atom; electronic total energy = -1.05 eV per atom
1.0
-3.1832 -7.6034 2.6505
8.2331 -1.6307 2.1275
-1.9764 4.4070 7.1862
K Hg Au
6 12 2
Direct
0.8149 0.2500 0.6852
0.3148 0.1851 0.7500
0.7500 0.3148 0.1851
0.1851 0.7500 0.3148
0.6852 0.8149 0.2500
0.2500 0.6852 0.8149
0.5877 0.5286 0.8445
0.0288 0.0878 0.3446
0.8445 0.5877 0.5286
0.3446 0.0288 0.0878
0.1555 0.4123 0.4714
0.9122 0.6554 0.9712
0.4123 0.4714 0.1555
0.5286 0.8445 0.5877
0.9712 0.9122 0.6554
0.4714 0.1555 0.4123
0.0878 0.3446 0.0288
0.6554 0.9712 0.9122
0.5000 0.5000 0.5000
0.0000 0.0000 0.0000